Entry 1:
The following is a GGA-PBE calculation of CeNdCu2Ge2 after structural relaxation, from the Alexandria database.

Computed properties:
**N(E_F)**: 6.513 states/eV/cell
**Energy of formation from the pure elements**: -622 meV per atom
**Symmetry**: P-3m1
**E_tot**: -31.86 eV per cell
**Crystal system**: trigonal

Cell lengths 4.2778, 4.2778, 7.8711 Å; angles 90.00, 90.00, 120.00 degrees
With the nearest neighbours (Å) after each atom.
Sites, in units of the cell vectors:
Ce 0.0000 0.0000 0.0000  6 Ge 3.13, 6 Cu 3.14
Nd 0.0000 0.0000 0.5000  6 Cu 3.17, 6 Ge 3.19
Cu 0.3333 0.6667 0.2468  3 Ge 2.47
Cu 0.6667 0.3333 0.7532  3 Ge 2.47
Ge 0.3333 0.6667 0.7564  3 Cu 2.47
Ge 0.6667 0.3333 0.2436  3 Cu 2.47


Entry 2:
The following is a GGA-PBE calculation of Ce2CuNi12Ge3 after structural relaxation, from the Alexandria database.

Computed properties:
**N(E_F)**: 13.405 states/eV/cell
**Energy of formation from the pure elements**: -126 meV per atom
**Symmetry**: R-3m
**E_tot**: -101.46 eV per cell
**Crystal system**: trigonal

Cell lengths 6.3278, 6.3278, 6.3278 Å; angles 83.16, 83.16, 83.16 degrees
With the nearest neighbours (Å) after each atom.
Sites, in units of the cell vectors:
Ce 0.1507 0.1507 0.1507  6 Ni 2.46-2.70
Ce 0.8493 0.8493 0.8493  6 Ni 2.46-2.70
Cu 0.5000 0.5000 0.5000  6 Ni 2.42
Ni 0.1100 0.1100 0.6026  4 Ni 2.40-2.64, 2 Ge 2.51
Ni 0.1100 0.6026 0.1100  4 Ni 2.40-2.64, 2 Ge 2.51
Ni 0.1999 0.6936 0.6936  1 Ge 2.39, 5 Ni 2.40-2.64, 1 Cu 2.42, 1 Ce 2.46
Ni 0.3064 0.3064 0.8001  1 Ge 2.39, 5 Ni 2.40-2.64, 1 Cu 2.42, 1 Ce 2.46
Ni 0.3064 0.8001 0.3064  1 Ge 2.39, 5 Ni 2.40-2.64, 1 Cu 2.42, 1 Ce 2.46
Ni 0.3974 0.8900 0.8900  4 Ni 2.40-2.64, 2 Ge 2.51
Ni 0.6026 0.1100 0.1100  4 Ni 2.40-2.64, 2 Ge 2.51
Ni 0.6936 0.1999 0.6936  1 Ge 2.39, 5 Ni 2.40-2.64, 1 Cu 2.42, 1 Ce 2.46
Ni 0.6936 0.6936 0.1999  1 Ge 2.39, 5 Ni 2.40-2.64, 1 Cu 2.42, 1 Ce 2.46
Ni 0.8001 0.3064 0.3064  1 Ge 2.39, 5 Ni 2.40-2.64, 1 Cu 2.42, 1 Ce 2.46
Ni 0.8900 0.3974 0.8900  4 Ni 2.40-2.64, 2 Ge 2.51
Ni 0.8900 0.8900 0.3974  4 Ni 2.40-2.64, 2 Ge 2.51
Ge 0.0000 0.5000 0.5000  6 Ni 2.39-2.51
Ge 0.5000 0.0000 0.5000  6 Ni 2.39-2.51
Ge 0.5000 0.5000 0.0000  6 Ni 2.39-2.51


Entry 3:
The following is a GGA-PBE calculation of Ce2CuNi4Ge3 after structural relaxation, from the Alexandria database.

Computed properties:
**N(E_F)**: 10.225 states/eV/cell
**Energy of formation from the pure elements**: -587 meV per atom
**Symmetry**: P-4m2
**E_tot**: -58.81 eV per cell
**Crystal system**: tetragonal

Cell lengths 4.0910, 4.0910, 9.7290 Å; angles 90.00, 90.00, 90.00 degrees
With the nearest neighbours (Å) after each atom.
Sites, in units of the cell vectors:
Ce 0.0000 0.5000 0.2482  8 Ni 3.11-3.19, 6 Ge 3.13-3.16, 2 Cu 3.16
Ce 0.5000 0.0000 0.7518  8 Ni 3.11-3.19, 6 Ge 3.13-3.16, 2 Cu 3.16
Cu 0.5000 0.5000 0.0000  4 Ni 2.41
Ni 0.0000 0.0000 0.5000  4 Ge 2.39
Ni 0.0000 0.5000 0.8694  3 Ge 2.35-2.41, 2 Cu 2.41
Ni 0.5000 0.0000 0.1306  3 Ge 2.35-2.41, 2 Cu 2.41
Ni 0.5000 0.5000 0.5000  4 Ge 2.39
Ge 0.0000 0.0000 0.0000  4 Ni 2.41
Ge 0.0000 0.5000 0.6279  5 Ni 2.35-2.39
Ge 0.5000 0.0000 0.3721  5 Ni 2.35-2.39